# 1
Material: Hf2NbPtN
Method: DFT, PBE-GGA
State: relaxed

Cell and atoms, written as CIF:
```
data_Hf2NbPtN
_chemical_formula_sum 'Hf2 Nb1 Pt1 N1'
_cell_length_a 4.4318
_cell_length_b 4.4318
_cell_length_c 4.1430
_cell_angle_alpha 90.00
_cell_angle_beta 90.00
_cell_angle_gamma 90.00
_symmetry_space_group_name_H-M 'P 4/m m m'
_symmetry_Int_Tables_number 123
_symmetry_space_group_name_Hall '-P 4 2'
loop_
_atom_site_label
_atom_site_type_symbol
_atom_site_fract_x
_atom_site_fract_y
_atom_site_fract_z
Hf1 Hf 0.0000 0.5000 0.0000
Nb1 Nb 0.0000 0.0000 0.5000
Pt1 Pt 0.5000 0.5000 0.5000
N1 N 0.0000 0.0000 0.0000
```

Output
Final energy in eV per atom: -9.887



# 2
Material: HfNb2PtN
Method: DFT, PBE-GGA
State: relaxed

Cell and atoms, written as CIF:
```
data_HfNb2PtN
_chemical_formula_sum 'Hf1 Nb2 Pt1 N1'
_cell_length_a 4.2029
_cell_length_b 4.2029
_cell_length_c 4.4689
_cell_angle_alpha 90.00
_cell_angle_beta 90.00
_cell_angle_gamma 90.00
_symmetry_space_group_name_H-M 'P 4/m m m'
_symmetry_Int_Tables_number 123
_symmetry_space_group_name_Hall '-P 4 2'
loop_
_atom_site_label
_atom_site_type_symbol
_atom_site_fract_x
_atom_site_fract_y
_atom_site_fract_z
Hf1 Hf 0.0000 0.0000 0.0000
Nb1 Nb 0.0000 0.5000 0.5000
Pt1 Pt 0.5000 0.5000 0.0000
N1 N 0.0000 0.0000 0.5000
```

Output
Final energy in eV per atom: -9.755



# 3
Material: Pu3Hf2NbN6
Method: DFT, PBE-GGA
State: relaxed

Cell and atoms, written as CIF:
```
data_Pu3Hf2NbN6
_chemical_formula_sum 'Pu6 Hf4 Nb2 N12'
_cell_length_a 5.7186
_cell_length_b 9.9077
_cell_length_c 5.8042
_cell_angle_alpha 90.00
_cell_angle_beta 109.13
_cell_angle_gamma 90.00
_symmetry_space_group_name_H-M 'C 1 2/m 1'
_symmetry_Int_Tables_number 12
loop_
_symmetry_equiv_pos_as_xyz
'x,y,z'
'-x,-y,-z'
'-x,y,-z'
'x,-y,z'
'x+1/2,y+1/2,z'
'-x+1/2,-y+1/2,-z'
'-x+1/2,y+1/2,-z'
'x+1/2,-y+1/2,z'
loop_
_atom_site_label
_atom_site_type_symbol
_atom_site_fract_x
_atom_site_fract_y
_atom_site_fract_z
Pu1 Pu 0.0000 0.0000 0.0000
Pu2 Pu 0.0000 0.3358 0.0000
Hf1 Hf 0.0000 0.1669 0.5000
Nb1 Nb 0.0000 0.5000 0.5000
N1 N 0.2371 0.0000 0.7247
N2 N 0.2445 0.3312 0.7270
```

Output
Final energy in eV per atom: -11.703